# 1
First-principles (GGA-PBE) data for a geometry-optimized Al2Cu2AgAu2 structure, as listed in Alexandria via LeMat-Bulk.

Lattice parameters (Å, degrees): 9.021 3.488 6.906 90.00 95.81 90.00
Positions (direct):
Al (0.063, 0.000, 0.199)
Al (0.437, 0.500, 0.801)
Al (0.563, 0.500, 0.199)
Al (0.937, 0.000, 0.801)
Cu (0.136, 0.500, 0.946)
Cu (0.364, 0.000, 0.054)
Cu (0.636, 0.000, 0.946)
Cu (0.864, 0.500, 0.054)
Ag (0.000, 0.500, 0.500)
Ag (0.500, 0.000, 0.500)
Au (0.225, 0.000, 0.680)
Au (0.275, 0.500, 0.320)
Au (0.725, 0.500, 0.680)
Au (0.775, 0.000, 0.320)

Computed properties:
As for the space-group type: C2/m. For the formation enthalpy at 0 K, the calculation gives -132 kJ/mol of formula units.

# 2
First-principles (GGA-PBE) data for a geometry-optimized Al2CuAg2Au5 structure, as listed in Alexandria via LeMat-Bulk.

Lattice parameters (Å, degrees): 10.167 10.167 3.421 90.00 90.00 90.00
Positions (direct):
Al (0.141, 0.359, 0.000)
Al (0.359, 0.859, 0.000)
Al (0.641, 0.141, 0.000)
Al (0.859, 0.641, 0.000)
Cu (0.000, 0.000, 0.000)
Cu (0.500, 0.500, 0.000)
Ag (0.174, 0.674, 0.000)
Ag (0.326, 0.174, 0.000)
Ag (0.674, 0.826, 0.000)
Ag (0.826, 0.326, 0.000)
Au (0.000, 0.500, 0.500)
Au (0.032, 0.200, 0.500)
Au (0.200, 0.968, 0.500)
Au (0.300, 0.468, 0.500)
Au (0.468, 0.700, 0.500)
Au (0.500, 0.000, 0.500)
Au (0.532, 0.300, 0.500)
Au (0.700, 0.532, 0.500)
Au (0.800, 0.032, 0.500)
Au (0.968, 0.800, 0.500)

Computed properties:
As for the space-group type: P4/mbm. For the formation enthalpy at 0 K, the calculation gives -129 kJ/mol of formula units.

# 3
First-principles (GGA-PBE) data for a geometry-optimized Al2CuAgAu4 structure, as listed in Alexandria via LeMat-Bulk.

Lattice parameters (Å, degrees): 7.996 7.996 7.996 32.62 32.62 32.62
Positions (direct):
Al (0.250, 0.250, 0.250)
Al (0.750, 0.750, 0.750)
Cu (0.500, 0.500, 0.500)
Ag (0.000, 0.000, 0.000)
Au (0.130, 0.130, 0.130)
Au (0.383, 0.383, 0.383)
Au (0.617, 0.617, 0.617)
Au (0.870, 0.870, 0.870)

Computed properties:
As for the space-group type: R-3m. For the formation enthalpy at 0 K, the calculation gives -171 kJ/mol of formula units.

# 4
First-principles (GGA-PBE) data for a geometry-optimized Al2CuAgAu structure, as listed in Alexandria via LeMat-Bulk.

Lattice parameters (Å, degrees): 4.500 4.500 4.873 90.00 90.00 90.00
Positions (direct):
Al (0.000, 0.500, 0.000)
Al (0.500, 0.000, 0.000)
Cu (0.000, 0.000, 0.000)
Ag (0.500, 0.500, 0.500)
Au (0.000, 0.000, 0.500)

Computed properties:
As for the space-group type: P4/mmm. For the formation enthalpy at 0 K, the calculation gives 144 kJ/mol of formula units.

# 5
First-principles (GGA-PBE) data for a geometry-optimized AlCuAgAu structure, as listed in Alexandria via LeMat-Bulk.

Lattice parameters (Å, degrees): 4.612 2.913 10.170 90.00 90.00 90.00
Positions (direct):
Al (0.000, 0.000, 0.000)
Al (0.000, 0.500, 0.500)
Cu (0.500, 0.000, 0.416)
Cu (0.500, 0.500, 0.916)
Ag (0.500, 0.000, 0.137)
Ag (0.500, 0.500, 0.637)
Au (0.000, 0.000, 0.284)
Au (0.000, 0.500, 0.784)

Computed properties:
As for the space-group type: Amm2. For the formation enthalpy at 0 K, the calculation gives -8 kJ/mol of formula units.

# 6
First-principles (GGA-PBE) data for a geometry-optimized DyAlAgAu structure, as listed in Alexandria via LeMat-Bulk.

Lattice parameters (Å, degrees): 6.821 6.821 6.821 90.00 90.00 90.00
Positions (direct):
Dy (0.000, 0.000, 0.000)
Dy (0.000, 0.500, 0.500)
Dy (0.500, 0.000, 0.500)
Dy (0.500, 0.500, 0.000)
Al (0.000, 0.000, 0.500)
Al (0.000, 0.500, 0.000)
Al (0.500, 0.000, 0.000)
Al (0.500, 0.500, 0.500)
Ag (0.250, 0.250, 0.750)
Ag (0.250, 0.750, 0.250)
Ag (0.750, 0.250, 0.250)
Ag (0.750, 0.750, 0.750)
Au (0.250, 0.250, 0.250)
Au (0.250, 0.750, 0.750)
Au (0.750, 0.250, 0.750)
Au (0.750, 0.750, 0.250)

Computed properties:
As for the space-group type: F-43m. For the formation enthalpy at 0 K, the calculation gives -207 kJ/mol of formula units.

# 7
First-principles (GGA-PBE) data for a geometry-optimized DyAl3AgAu structure, as listed in Alexandria via LeMat-Bulk.

Lattice parameters (Å, degrees): 7.263 7.263 5.884 90.00 90.00 130.52
Positions (direct):
Dy (0.194, 0.806, 0.750)
Dy (0.806, 0.194, 0.250)
Al (0.210, 0.210, 0.000)
Al (0.210, 0.210, 0.500)
Al (0.364, 0.636, 0.250)
Al (0.636, 0.364, 0.750)
Al (0.790, 0.790, 0.000)
Al (0.790, 0.790, 0.500)
Ag (0.405, 0.595, 0.750)
Ag (0.595, 0.405, 0.250)
Au (0.161, 0.839, 0.250)
Au (0.839, 0.161, 0.750)

Computed properties:
As for the space-group type: Cmcm. For the formation enthalpy at 0 K, the calculation gives -133 kJ/mol of formula units.

# 8
First-principles (GGA-PBE) data for a geometry-optimized Dy2Al3AgAu4 structure, as listed in Alexandria via LeMat-Bulk.

Lattice parameters (Å, degrees): 4.236 4.236 11.318 90.00 90.00 90.00
Positions (direct):
Dy (0.000, 0.500, 0.247)
Dy (0.500, 0.000, 0.753)
Al (0.000, 0.500, 0.872)
Al (0.500, 0.000, 0.128)
Al (0.500, 0.500, 0.500)
Ag (0.000, 0.000, 0.500)
Au (0.000, 0.000, 0.000)
Au (0.000, 0.500, 0.655)
Au (0.500, 0.000, 0.345)
Au (0.500, 0.500, 0.000)

Computed properties:
As for the space-group type: P-4m2. For the formation enthalpy at 0 K, the calculation gives -568 kJ/mol of formula units.